The following is a DFT calculation (PBE) of an optimized crystal structure of Nd3Er12In.

Energy = -4.52 eV per atom
N(E_F) = 20.22 states/eV/cell
Energy of formation = -0.037 eV/atom
V = 491 Å³/f.u.

Cell lengths 4.952, 4.952, 20.041 Å; angles 90.00, 90.00, 90.00 degrees
Sites, in units of the cell vectors:
Nd: 0.000 0.000 0.000
Nd: 0.000 0.000 0.252
Nd: 0.000 0.000 0.748
Er: 0.000 0.500 0.127
Er: 0.000 0.500 0.381
Er: 0.000 0.500 0.619
Er: 0.000 0.500 0.873
Er: 0.500 0.000 0.127
Er: 0.500 0.000 0.381
Er: 0.500 0.000 0.619
Er: 0.500 0.000 0.873
Er: 0.500 0.500 0.000
Er: 0.500 0.500 0.257
Er: 0.500 0.500 0.500
Er: 0.500 0.500 0.743
In: 0.000 0.000 0.500

***

The following is a DFT calculation (PBE) of an optimized crystal structure of Nd5ErIn8.

Energy = -3.97 eV per atom
N(E_F) = 12.64 states/eV/cell
Energy of formation = -0.372 eV/atom
V = 413 Å³/f.u.

Cell lengths 8.128, 8.128, 8.128 Å; angles 109.05, 109.05, 110.32 degrees
Sites, in units of the cell vectors:
Nd: 0.000 0.000 0.000
Nd: 0.253 0.618 0.127
Nd: 0.382 0.509 0.636
Nd: 0.491 0.127 0.873
Nd: 0.873 0.747 0.364
Er: 0.750 0.250 0.500
In: 0.109 0.199 0.736
In: 0.112 0.696 0.744
In: 0.304 0.048 0.415
In: 0.464 0.374 0.264
In: 0.626 0.891 0.090
In: 0.632 0.888 0.585
In: 0.801 0.536 0.910
In: 0.952 0.368 0.256

***

The following is a DFT calculation (PBE) of an optimized crystal structure of Nd3Er4In4.

Energy = -4.24 eV per atom
N(E_F) = 10.64 states/eV/cell
Energy of formation = -0.281 eV/atom
V = 329 Å³/f.u.

Cell lengths 9.816, 9.816, 9.816 Å; angles 148.79, 137.47, 53.69 degrees
Sites, in units of the cell vectors:
Nd: 0.000 0.000 0.000
Nd: 0.395 0.895 0.500
Nd: 0.605 0.105 0.500
Er: 0.054 0.322 0.732
Er: 0.411 0.678 0.732
Er: 0.589 0.322 0.268
Er: 0.946 0.678 0.268
In: 0.181 0.181 0.000
In: 0.289 0.500 0.789
In: 0.711 0.500 0.211
In: 0.819 0.819 0.000

***

The following is a DFT calculation (PBE) of an optimized crystal structure of Nd5Er2In4.

Energy = -4.14 eV per atom
Excess energy over the best structure of this formula in the dataset = 0.1387 eV per atom
N(E_F) = 13.62 states/eV/cell
Energy of formation = -0.149 eV/atom
V = 351 Å³/f.u.

Cell lengths 17.174, 17.174, 5.835 Å; angles 91.66, 91.66, 11.77 degrees
Sites, in units of the cell vectors:
Nd: 0.000 0.000 0.000
Nd: 0.101 0.101 0.013
Nd: 0.293 0.293 0.296
Nd: 0.707 0.707 0.704
Nd: 0.899 0.899 0.987
Er: 0.448 0.448 0.486
Er: 0.552 0.552 0.514
In: 0.132 0.132 0.520
In: 0.199 0.199 0.194
In: 0.801 0.801 0.806
In: 0.868 0.868 0.480